# YZr2Ni

An optimized crystal structure of YZr2Ni (PBE, the Alexandria database).

Summary:
ρ = 6.2 g/cm³
calculated total energy = -0.269 Ha/atom
formation energy = 25 meV/atom
total magnetization = 0.00 μB per formula unit
volume = 89 Å³ per cell
ΔE to the lowest computed polymorph = 187.0 meV per atom

Unit cell a=9.4357 b=9.4357 c=9.4357 alpha=20.37 beta=20.37 gamma=20.37
Closest atoms and distances in Å follow each position.
Positions (direct):
Ni: 0.5052 0.5052 0.5052  3 Zr 2.63, 3 Y 2.84
Y: 0.7632 0.7632 0.7632  3 Ni 2.84
Zr: 0.9949 0.9949 0.9949  9 Zr 3.19-3.34, 3 Y 3.41
Zr: 0.2367 0.2367 0.2367  3 Ni 2.63